A geometry-optimized Ca2Ta2VO8 structure, computed with PBE+U.

Values from the calculation:
VASP energy = -0.6262 Ry/atom
space group = No. 15
calculated volume = 12.83 A^3/atom

Cell and atoms, written as POSCAR:
```
Ca2Ta2VO8
1.0
-4.6350 -1.1835 -2.7465
0.6788 -6.1156 1.4897
-5.2148 4.4873 7.3456
Ca Ta V O
4 4 2 16
Direct
0.2440 0.8882 0.4170 Ca
0.2560 0.4713 0.5830 Ca
0.7560 0.1118 0.5830 Ca
0.7440 0.5287 0.4170 Ca
0.2408 0.0372 0.7756 Ta
0.2592 0.2615 0.2244 Ta
0.7592 0.9628 0.2244 Ta
0.7408 0.7385 0.7756 Ta
0.2500 0.6335 0.0000 V
0.7500 0.3665 0.0000 V
0.9079 0.0541 0.8587 O
0.5921 0.1954 0.1413 O
0.0921 0.9459 0.1413 O
0.4079 0.8046 0.8587 O
0.4039 0.2960 0.8851 O
0.0961 0.4109 0.1149 O
0.5961 0.7040 0.1149 O
0.9039 0.5891 0.8851 O
0.4979 0.8807 0.6375 O
0.0021 0.2433 0.3625 O
0.9979 0.7567 0.6375 O
0.5021 0.1193 0.3625 O
0.6537 0.4670 0.6299 O
0.8463 0.8371 0.3701 O
0.3463 0.5330 0.3701 O
0.1537 0.1629 0.6299 O
```